[1]
ScRu2Au | Alexandria via LeMat-Bulk | PBE | relaxed; volume = 16.41 A^3/atom; ΔH_f (0 K) = 0.158 eV/atom; symmetry = P4/mmm (123); E_tot = -27.529 eV for the cell shown; total moment = 0.00 μB per formula unit; mass density = 11233 kg/m³; energy above the lowest structure with this stoichiometry = 355 meV/atom
1.0
2.872 0.000 0.000
0.000 2.872 0.000
0.000 0.000 7.960
Sc Ru Au
1 2 1
direct
0.000 0.000 0.000
0.500 0.500 0.251
0.500 0.500 0.749
0.000 0.000 0.500



[2]
Sc2RuAu | Alexandria via LeMat-Bulk | PBE | relaxed; volume = 17.82 A^3/atom; ΔH_f (0 K) = -0.264 eV/atom; symmetry = F-43m (216); E_tot = -105.088 eV for the cell shown; total moment = 0.00 μB per formula unit; mass density = 9036 kg/m³
1.0
6.582 0.000 0.000
0.000 6.582 0.000
0.000 0.000 6.582
Sc Ru Au
8 4 4
direct
0.000 0.000 0.000
0.000 0.500 0.500
0.250 0.250 0.250
0.250 0.750 0.750
0.500 0.000 0.500
0.500 0.500 0.000
0.750 0.250 0.750
0.750 0.750 0.250
0.000 0.000 0.500
0.000 0.500 0.000
0.500 0.000 0.000
0.500 0.500 0.500
0.250 0.250 0.750
0.250 0.750 0.250
0.750 0.250 0.250
0.750 0.750 0.750